CrCo2Ag: relaxed, GGA-PBE.

Values from the calculation:
The value obtained for the excess energy over the best structure of this formula in the dataset is 0 meV/atom. The value obtained for the density is 9.03 g/cm3. As for the total energy: -6.3627 eV per atom. The density of states at the Fermi level comes out at 1.138 states/eV/atom.

abc: 2.764 2.764 6.683
angles: 90.00 90.00 90.00
Space group P4/mmm (No. 123)
Symmetry-distinct sites (fractional):
Cr  0.000  0.000  0.000 x1
Co  0.500  0.500  0.206 x2
Ag  0.000  0.000  0.500 x1